Entry 1:
## DyCoRu (PBE)

Data for crystalline DyCoRu at its relaxed geometry.

Summary:
Offset from the most stable computed form ... 0.0000 eV per atom
Density ... 10768 kg/m³
Total moment ... 0.850 μB/f.u.
Energy of formation ... -0.262 eV/atom

Cell lengths 5.161, 5.182, 7.438 Å; angles 90.00, 90.00, 90.00 degrees
Space group Imma (No. 74)
Symmetry-distinct sites (fractional):
1 Dy 0.000 0.250 0.126 x4
2 Co 0.250 0.250 0.750 x4
3 Ru 0.000 0.000 0.500 x4

---

Entry 2:
## SrZr2Zn (PBE)

Data for crystalline SrZr2Zn at its relaxed geometry.

Summary:
Density ... 5525 kg/m³
Total moment ... 0.000 μB/f.u.
Energy of formation ... 0.373 eV/atom

Cell lengths 6.162, 11.582, 3.240 Å; angles 90.00, 119.30, 90.00 degrees
Space group C2/m (No. 12)
Symmetry-distinct sites (fractional):
1 Sr 0.000 0.000 0.000 x2
2 Zr 0.250 0.250 0.500 x4
3 Zn 0.000 0.500 0.000 x2

---

Entry 3:
## AcTl2Te3 (PBE)

Data for crystalline AcTl2Te3 at its relaxed geometry.

Summary:
Density ... 7914 kg/m³
Total moment ... 0.000 μB/f.u.
Formation energy (no corrections) ... -442 kJ/mol of formula units

Cell lengths 4.507, 12.023, 7.888 Å; angles 90.00, 90.00, 90.00 degrees
Space group Pmc2_1 (No. 26)
Symmetry-distinct sites (fractional):
1 Ac 0.000 0.125 0.000 x2
2 Tl 0.000 0.192 0.458 x2
3 Tl 0.500 0.479 0.491 x2
4 Te 0.000 0.368 0.738 x2
5 Te 0.500 0.044 0.702 x2
6 Te 0.500 0.292 0.180 x2

---

Entry 4:
## KP4N7 (PBE)

Data for crystalline KP4N7 at its relaxed geometry.

Summary:
Offset from the most stable computed form ... 0.0000 eV per atom
Density ... 2996 kg/m³
Total moment ... 0.000 μB/f.u.
Formation energy (no corrections) ... -573 kJ/mol of formula units

Cell lengths 9.941, 12.367, 4.708 Å; angles 90.00, 90.00, 90.00 degrees
Space group Pnma (No. 62)
Symmetry-distinct sites (fractional):
1 K 0.152 0.250 0.243 x4
2 P 0.089 0.631 0.214 x8
3 P 0.157 0.000 0.721 x8
4 N 0.061 0.102 0.680 x8
5 N 0.114 0.607 0.882 x8
6 N 0.132 0.750 0.299 x4
7 N 0.200 0.543 0.385 x8

---

Entry 5:
## YPuMnOs (PBE)

Data for crystalline YPuMnOs at its relaxed geometry.

Summary:
Density ... 12012 kg/m³
Total moment ... 1.573 μB/f.u.
Energy of formation ... -0.004 eV/atom

Cell lengths 6.837, 6.837, 6.837 Å; angles 90.00, 90.00, 90.00 degrees
Space group F-43m (No. 216)
Symmetry-distinct sites (fractional):
1 Y 0.000 0.000 0.000 x4
2 Pu 0.000 0.000 0.500 x4
3 Mn 0.250 0.250 0.250 x4
4 Os 0.250 0.250 0.750 x4

---

Entry 6:
## CdAgMo (PBE)

Data for crystalline CdAgMo at its relaxed geometry.

Summary:
Offset from the most stable computed form ... 0.0000 eV per atom
Density ... 9905 kg/m³
Total moment ... 0.000 μB/f.u.
Energy of formation ... 0.352 eV/atom

Cell lengths 2.786, 2.786, 13.664 Å; angles 90.00, 90.00, 90.00 degrees
Space group I4mm (No. 107)
Symmetry-distinct sites (fractional):
1 Cd 0.000 0.000 0.000 x2
2 Ag 0.000 0.000 0.672 x2
3 Mo 0.000 0.000 0.333 x2